NiAsBr2F | PBE with a Hubbard U | relaxed

a = 4.832 Å, b = 4.832 Å, c = 4.751 Å
α = 90.00°, β = 90.00°, γ = 90.00°
Last column: magnetic moment on the atom in μB.
Fractional coordinates of all 5 atoms:
Ni 0.000 0.000 0.000  1.05
As 0.000 0.000 0.500  0.05
Br 0.000 0.500 0.000  -0.01
Br 0.500 0.000 0.000  -0.01
F 0.500 0.500 0.500  0.01

Output
Its crystal system is tetragonal. Its polymorph energy (0 for the lowest one) is 33 meV per atom. The total energy comes out at -2.259 eV per atom.